## SiSnO4 (GGA-PBE)

Data for a relaxed SiSnO4 crystal.

a = 4.6964 Å, b = 4.6964 Å, c = 8.3535 Å
α = 90.00°, β = 90.00°, γ = 90.00°
Closest atoms and distances in Å follow each position.
Space group P-42c (No. 112)
Inequivalent atoms, fractional coordinates:
Si1 0.0000 0.5000 0.2500  4 O 1.65
Sn1 0.0000 0.0000 0.0000  4 O 1.98
O1 0.1925 0.2895 0.3657  1 Si 1.65

Calculated values
- VASP energy: -81.96 eV per cell
- Total magnetization: 0.0000 μB/atom

=====

## Si2SnO (GGA-PBE)

Data for a relaxed Si2SnO crystal.

a = 4.7750 Å, b = 4.7750 Å, c = 12.5013 Å
α = 90.00°, β = 90.00°, γ = 90.00°
Closest atoms and distances in Å follow each position.
Space group I-42d (No. 122)
Inequivalent atoms, fractional coordinates:
Si1 0.1014 0.2500 0.1250  2 O 2.03
Sn1 0.0000 0.0000 0.5000  4 Si 2.74
O1 0.0000 0.0000 0.0000  4 Si 2.03

Calculated values
- Polymorph energy (0 for the lowest one): 0 meV per atom
- Total magnetization: 0.0000 μB/atom

=====

## Si2SnO (GGA-PBE)

Data for a relaxed Si2SnO crystal.

a = 6.3461 Å, b = 6.3461 Å, c = 6.3461 Å
α = 90.00°, β = 90.00°, γ = 90.00°
Closest atoms and distances in Å follow each position.
Space group Fm-3m (No. 225)
Inequivalent atoms, fractional coordinates:
Si1 0.2500 0.2500 0.2500  4 O 2.75, 4 Sn 2.75
Sn1 0.0000 0.0000 0.0000  8 Si 2.75
O1 0.0000 0.0000 0.5000  8 Si 2.75

Calculated values
- Polymorph energy (0 for the lowest one): 661 meV per atom
- Total magnetization: 0.0000 μB/atom

=====

## Si2Sn2O (GGA-PBE)

Data for a relaxed Si2Sn2O crystal.

a = 3.4086 Å, b = 3.4086 Å, c = 16.1802 Å
α = 90.00°, β = 90.00°, γ = 90.00°
Closest atoms and distances in Å follow each position.
Space group I4/mmm (No. 139)
Inequivalent atoms, fractional coordinates:
Si1 0.0000 0.5000 0.2500  4 Si 2.41
Sn1 0.0000 0.0000 0.0901  4 O 2.82, 1 Sn 2.92, 4 Si 3.10
O1 0.0000 0.0000 0.5000  8 Sn 2.82

Calculated values
- Polymorph energy (0 for the lowest one): 0 meV per atom
- Total magnetization: 0.0000 μB/atom

=====

## Si2Sn2O7 (GGA-PBE)

Data for a relaxed Si2Sn2O7 crystal.

a = 6.6833 Å, b = 6.7867 Å, c = 12.9771 Å
α = 79.83°, β = 84.78°, γ = 82.68°
Closest atoms and distances in Å follow each position.
Space group P-1 (No. 2)
Inequivalent atoms, fractional coordinates:
Si1 0.0642 0.2142 0.2011  4 O 1.61-1.77
Si2 0.1481 0.2254 0.4253  4 O 1.62-1.71
Si3 0.3508 0.1085 0.6265  4 O 1.63-1.67
Si4 0.4364 0.7107 0.1286  4 O 1.62-1.67
Sn1 0.0552 0.2564 0.8841  4 O 2.30-2.52
Sn2 0.1606 0.7401 0.3612  5 O 2.02-2.11
Sn3 0.3427 0.5799 0.6529  4 O 2.33-2.56
Sn4 0.4194 0.8141 0.8606  6 O 2.01-2.17
O1 0.0502 0.5712 0.7739  1 Si 1.63
O2 0.0761 0.7409 0.5147  1 Si 1.63
O3 0.0971 0.8982 0.8515  1 Si 1.65
O4 0.1206 0.0906 0.3286  2 Si 1.71-1.77
O5 0.1437 0.2334 0.6760  1 Si 1.67
O6 0.2249 0.7616 0.2027  1 Si 1.67
O7 0.2421 0.4348 0.3806  1 Si 1.62
O8 0.2754 0.2177 0.1301  1 Si 1.61
O9 0.3010 0.0838 0.5073  2 Si 1.64-1.65
O10 0.3537 0.7199 0.0143  1 Si 1.62
O11 0.4057 0.1249 0.8652  1 Si 1.65
O12 0.4073 0.8836 0.6958  1 Si 1.65
O13 0.4480 0.5140 0.8249  1 Si 1.66
O14 0.4618 0.7566 0.3781  1 Si 1.63

Calculated values
- VASP energy: -307.83 eV per cell
- Total magnetization: 0.0000 μB/atom

=====

## TaSiSnO6 (GGA-PBE)

Data for a relaxed TaSiSnO6 crystal.

a = 5.0656 Å, b = 5.0656 Å, c = 4.7713 Å
α = 90.00°, β = 90.00°, γ = 120.00°
Closest atoms and distances in Å follow each position.
Space group P312 (No. 149)
Inequivalent atoms, fractional coordinates:
Ta1 0.0000 0.0000 0.0000  6 O 2.00
Si1 0.3333 0.6667 0.0000  6 O 1.82
Sn1 0.6667 0.3333 0.5000  6 O 2.31
O1 0.0489 0.3598 0.2147  1 Si 1.82, 1 Ta 2.00

Calculated values
- VASP energy: -71.21 eV per cell
- Total magnetization: 0.0000 μB/atom

=====

## Tl2SiSnO4 (GGA-PBE)

Data for a relaxed Tl2SiSnO4 crystal.

a = 7.5417 Å, b = 8.0149 Å, c = 5.1863 Å
α = 90.00°, β = 90.00°, γ = 90.00°
Closest atoms and distances in Å follow each position.
Space group Pmn2_1 (No. 31)
Inequivalent atoms, fractional coordinates:
Tl1 0.2238 0.1825 0.0000  3 O 2.51-2.77
Si1 0.0000 0.4135 0.4843  4 O 1.64-1.68
Sn1 0.0000 0.6799 0.0110  2 O 2.11-2.15
O1 0.0000 0.4353 0.1617  1 Si 1.68
O2 0.0000 0.6067 0.6119  1 Si 1.68
O3 0.1819 0.3148 0.5652  1 Si 1.64

Calculated values
- VASP energy: -93.70 eV per cell
- Total magnetization: 0.0000 μB/atom

=====

## TlSi2SnO (GGA-PBE)

Data for a relaxed TlSi2SnO crystal.

a = 4.3161 Å, b = 4.3161 Å, c = 5.3134 Å
α = 90.00°, β = 90.00°, γ = 90.00°
Closest atoms and distances in Å follow each position.
Space group P4/mmm (No. 123)
Inequivalent atoms, fractional coordinates:
Tl1 0.0000 0.0000 0.0000  2 O 2.66
Si1 0.0000 0.5000 0.5000  2 O 2.16
Sn1 0.5000 0.5000 0.0000  4 Tl 3.05
O1 0.0000 0.0000 0.5000  4 Si 2.16

Calculated values
- VASP energy: -21.34 eV per cell
- Total magnetization: 0.0000 μB/atom

=====

total magnetization of number 4 (Si2Sn2O)? 0.0000 μB/atom

=====

What is the formula in the fifth record? Si2Sn2O7

=====

Which value of total magnetization does entry 3 give? 0.0000 μB/atom